Material: LiMn2Tl2
Method: DFT, SCAN
State: PBEsol geometry

Cell: 3.1523 3.1523 9.2014 Å, 99.86 99.86 90.00°
Fractional coordinates of all 5 atoms:
Li 0.0000 0.0000 0.0000
Mn 0.2500 0.7500 0.5000
Mn 0.7500 0.2500 0.5000
Tl 0.6171 0.6171 0.2342
Tl 0.3829 0.3829 0.7658

Properties
Space-group type   I4/mmm, No. 139
Calculated formation energy   387 meV per atom
Total magnetization   1.04 Bohr magnetons per cell